{"formula": "TlZn5", "functional": "PBE", "state": "optimized geometry", "dos_ef_per_ev_cell": 1.47, "ef_ev_per_atom": 0.12, "spacegroup": "P4/mmm, No. 123", "lattice": [[-2.4949, 1.7416, 0.0059], [-0.8620, -1.2438, 2.6396], [5.8135, 8.3087, 5.8137]], "species": ["Tl", "Zn", "Zn", "Zn", "Zn", "Zn"], "frac_coords": [[0.5000, 0.5000, 0.5000], [0.0000, 0.0000, 0.7127], [0.5000, 0.5000, 0.8541], [0.0000, 0.0000, 0.0000], [0.5000, 0.5000, 0.1459], [0.0000, 0.0000, 0.2873]]}

***

{"formula": "Pr9Tl3O2", "functional": "PBE", "state": "optimized geometry", "dos_ef_per_ev_cell": 9.01, "formation_energy_uncorrected_ev_per_atom": -0.961, "spacegroup": "P-3m1, No. 164", "lattice": [[-5.2349, 1.2543, -4.7388], [5.2270, -4.6498, -1.5782], [-4.7386, -6.5180, 3.5095]], "species": ["Pr", "Pr", "Pr", "Pr", "Pr", "Pr", "Pr", "Pr", "Pr", "Tl", "Tl", "Tl", "O", "O"], "frac_coords": [[0.1690, 0.8310, 0.6691], [0.1690, 0.3380, 0.6691], [0.5000, 0.5000, 0.0000], [0.8310, 0.6620, 0.3309], [0.3380, 0.1690, 0.3309], [0.6620, 0.8310, 0.6691], [0.8310, 0.1690, 0.3309], [0.0000, 0.5000, 0.0000], [0.5000, 0.0000, 0.0000], [0.6667, 0.3333, 0.6671], [0.0000, 0.0000, 0.0000], [0.3333, 0.6667, 0.3329], [0.6667, 0.3333, 0.1590], [0.3333, 0.6667, 0.8410]]}

***

{"formula": "CeGdGe2", "functional": "PBE", "state": "optimized geometry", "dos_ef_per_ev_cell": 5.71, "ef_ev_per_atom": -0.65, "spacegroup": "R-3m, No. 166", "lattice": [[-0.4764, 3.1931, 2.7671], [-3.8723, 1.0049, 1.4406], [-0.6595, -2.9554, 6.5639]], "species": ["Ge", "Ge", "Gd", "Ce"], "frac_coords": [[0.7484, 0.7484, 0.7548], [0.2516, 0.2516, 0.2452], [0.5000, 0.5000, 0.5000], [0.0000, 0.0000, 0.0000]]}

***

{"formula": "Na2TlCl", "functional": "PBE", "state": "optimized geometry", "dos_ef_per_ev_cell": 0.19, "formation_energy_uncorrected_ev_per_atom": -0.697, "spacegroup": "I-42d, No. 122", "lattice": [[-7.4211, -1.9001, 2.6982], [-1.4243, -4.1458, -6.8371], [-3.1070, -5.9933, -0.5425]], "species": ["Na", "Na", "Na", "Na", "Tl", "Tl", "Cl", "Cl"], "frac_coords": [[0.5662, 0.1250, 0.2500], [0.1839, 0.6250, 0.2500], [0.3750, 0.4338, 0.7500], [0.8750, 0.8162, 0.7500], [0.0000, 0.0000, 0.0000], [0.7500, 0.2500, 0.5000], [0.5000, 0.5000, 0.0000], [0.2500, 0.7500, 0.5000]]}

***

{"formula": "Dy6Y3Ho2Zr", "functional": "PBE", "state": "optimized geometry", "dos_ef_per_ev_cell": 15.38, "ef_ev_per_atom": 0.04, "spacegroup": "C2/m, No. 12", "lattice": [[6.0800, 0.0038, 0.0023], [-3.0352, 5.2682, 0.0023], [-1.0095, -1.7479, 11.4617]], "species": ["Dy", "Dy", "Dy", "Dy", "Dy", "Dy", "Y", "Y", "Y", "Ho", "Ho", "Zr"], "frac_coords": [[0.9188, 0.5916, 0.7566], [0.7544, 0.7544, 0.2429], [0.0812, 0.4084, 0.2434], [0.5916, 0.9188, 0.7566], [0.2456, 0.2456, 0.7571], [0.4084, 0.0812, 0.2434], [0.1666, 0.8334, 0.5000], [0.8334, 0.1666, 0.5000], [0.5000, 0.5000, 0.5000], [0.3331, 0.6669, 0.0000], [0.6669, 0.3331, 0.0000], [0.0000, 0.0000, 0.0000]]}

***

{"formula": "ReAgIr2", "functional": "PBE", "state": "optimized geometry", "dos_ef_per_ev_cell": 3.99, "ef_ev_per_atom": 0.63, "spacegroup": "Pmmm, No. 47", "lattice": [[2.7650, 0.0000, 0.0000], [0.0000, 4.8111, 0.0000], [0.0000, 0.0000, 4.6537]], "species": ["Re", "Ir", "Ir", "Ag"], "frac_coords": [[0.5000, 0.0000, 0.5000], [0.0000, 0.0000, 0.0000], [0.5000, 0.5000, 0.0000], [0.0000, 0.5000, 0.5000]]}